{"formula": "ScInTc2", "functional": "PBE", "state": "optimized geometry", "e_above_lowest_polymorph_ev_per_atom": 0.166, "dos_ef_per_ev_atom": 0.74, "delta_e_f_mev_per_atom": -5, "lattice": [[-0.410, 0.471, 4.031], [0.530, -2.965, 0.400], [6.014, -1.299, 0.764]], "species": ["In", "Sc", "Tc", "Tc"], "fractional_positions": [[0.000, 0.485, 0.494], [0.500, 0.761, 0.775], [0.000, 0.022, 0.017], [0.500, 0.232, 0.214]]}



{"formula": "Sc2InTc2", "functional": "PBE", "state": "optimized geometry", "dos_ef_per_ev_atom": 1.40, "delta_e_f_mev_per_atom": -128, "lattice": [[6.882, 0.000, 0.000], [0.000, 6.882, 0.000], [0.000, 0.000, 4.173]], "species": ["Sc", "Sc", "Sc", "Sc", "Tc", "Tc", "Tc", "Tc", "In", "In"], "fractional_positions": [[0.176, 0.676, 0.500], [0.676, 0.824, 0.500], [0.824, 0.324, 0.500], [0.324, 0.176, 0.500], [0.380, 0.880, 0.000], [0.880, 0.620, 0.000], [0.620, 0.120, 0.000], [0.120, 0.380, 0.000], [0.000, 0.000, 0.000], [0.500, 0.500, 0.000]]}



{"formula": "Sc4InTc", "functional": "PBE", "state": "optimized geometry", "e_above_lowest_polymorph_ev_per_atom": 0.220, "dos_ef_per_ev_atom": 1.09, "delta_e_f_mev_per_atom": -39, "lattice": [[-0.884, -4.566, -1.127], [-1.430, -3.068, 3.392], [-7.873, -0.818, -0.667]], "species": ["Sc", "Sc", "Sc", "Sc", "In", "Tc"], "fractional_positions": [[0.636, 0.637, 0.091], [0.364, 0.363, 0.909], [0.114, 0.113, 0.659], [0.886, 0.887, 0.341], [0.500, 0.500, 0.500], [0.000, 0.000, 0.000]]}



{"formula": "Sc4InTc", "functional": "PBE", "state": "optimized geometry", "e_above_lowest_polymorph_ev_per_atom": 0.598, "dos_ef_per_ev_atom": 1.45, "delta_e_f_mev_per_atom": 339, "lattice": [[-1.662, 3.798, 3.773], [-3.931, 3.761, -1.353], [-5.116, -0.353, 2.266]], "species": ["Sc", "Sc", "Sc", "Sc", "In", "Tc"], "fractional_positions": [[0.377, 0.868, 0.377], [0.868, 0.377, 0.377], [0.377, 0.377, 0.868], [0.377, 0.377, 0.377], [0.000, 0.000, 0.000], [0.750, 0.750, 0.750]]}



{"formula": "Sc6In5Tc", "functional": "PBE", "state": "optimized geometry", "dos_ef_per_ev_atom": 0.37, "delta_e_f_mev_per_atom": -434, "lattice": [[4.715, -0.027, 1.571], [0.036, 6.987, 0.012], [0.017, -0.013, 7.809]], "species": ["Sc", "Sc", "Sc", "Sc", "Sc", "Sc", "Tc", "In", "In", "In", "In", "In"], "fractional_positions": [[0.843, 0.762, 0.315], [0.843, 0.238, 0.315], [0.500, 0.238, 0.000], [0.500, 0.762, 0.000], [0.157, 0.762, 0.685], [0.157, 0.238, 0.685], [0.000, 0.000, 0.000], [0.672, 0.500, 0.655], [0.335, 0.000, 0.331], [0.000, 0.500, 0.000], [0.665, 0.000, 0.669], [0.328, 0.500, 0.345]]}



{"formula": "Sc6In3Tc", "functional": "PBE", "state": "optimized geometry", "dos_ef_per_ev_atom": 0.89, "delta_e_f_mev_per_atom": -361, "lattice": [[-4.526, 1.593, -1.261], [-3.253, -7.771, 1.858], [-0.420, 5.888, 8.946]], "species": ["Sc", "Sc", "Sc", "Sc", "Sc", "Sc", "Sc", "Sc", "Sc", "Sc", "Sc", "Sc", "In", "In", "In", "In", "In", "In", "Tc", "Tc"], "fractional_positions": [[0.250, 0.456, 0.083], [0.750, 0.544, 0.917], [0.250, 0.133, 0.171], [0.750, 0.867, 0.829], [0.250, 0.690, 0.673], [0.750, 0.310, 0.327], [0.250, 0.214, 0.490], [0.750, 0.786, 0.510], [0.250, 0.858, 0.324], [0.750, 0.142, 0.676], [0.250, 0.091, 0.863], [0.750, 0.909, 0.137], [0.250, 0.524, 0.383], [0.750, 0.476, 0.617], [0.250, 0.384, 0.779], [0.750, 0.616, 0.221], [0.250, 0.778, 0.978], [0.750, 0.222, 0.022], [0.250, 0.960, 0.600], [0.750, 0.040, 0.400]]}



{"formula": "ScInTc2", "functional": "PBE", "state": "optimized geometry", "e_above_lowest_polymorph_ev_per_atom": 0.380, "dos_ef_per_ev_atom": 1.02, "delta_e_f_mev_per_atom": 210, "lattice": [[2.881, -0.008, 0.000], [-0.979, 2.709, 0.000], [0.000, 0.000, 8.934]], "species": ["In", "Sc", "Tc", "Tc"], "fractional_positions": [[0.500, 0.500, 0.250], [0.500, 0.500, 0.750], [0.000, 0.000, 0.996], [0.000, 0.000, 0.504]]}



{"formula": "ScInTc2", "functional": "PBE", "state": "optimized geometry", "e_above_lowest_polymorph_ev_per_atom": 0.297, "dos_ef_per_ev_atom": 1.07, "delta_e_f_mev_per_atom": 126, "lattice": [[-5.344, 0.037, -0.434], [2.116, -2.141, 4.429], [-0.541, 2.049, 1.943]], "species": ["In", "Sc", "Tc", "Tc"], "fractional_positions": [[0.000, 0.500, 0.500], [0.500, 0.500, 0.000], [0.000, 0.000, 0.000], [0.500, 0.000, 0.500]]}



{"formula": "ScInTc2", "functional": "PBE", "state": "optimized geometry", "e_above_lowest_polymorph_ev_per_atom": 0.324, "dos_ef_per_ev_atom": 1.51, "delta_e_f_mev_per_atom": 153, "lattice": [[3.205, 1.361, 3.007], [-1.067, 3.049, 3.276], [-0.252, -1.339, 4.394]], "species": ["Sc", "Tc", "Tc", "In"], "fractional_positions": [[0.000, 0.000, 0.000], [0.250, 0.250, 0.250], [0.750, 0.750, 0.750], [0.500, 0.500, 0.500]]}



{"formula": "ScInTc4", "functional": "PBE", "state": "optimized geometry", "dos_ef_per_ev_atom": 0.93, "delta_e_f_mev_per_atom": -38, "lattice": [[4.107, -0.700, -3.186], [2.771, -4.447, 0.232], [-0.284, -3.474, -3.919]], "species": ["Sc", "In", "Tc", "Tc", "Tc", "Tc"], "fractional_positions": [[0.000, 0.000, 0.000], [0.750, 0.750, 0.750], [0.874, 0.375, 0.375], [0.375, 0.375, 0.874], [0.375, 0.874, 0.375], [0.375, 0.375, 0.375]]}



{"formula": "ScInTc2", "functional": "PBE", "state": "optimized geometry", "e_above_lowest_polymorph_ev_per_atom": 0.239, "dos_ef_per_ev_atom": 0.88, "delta_e_f_mev_per_atom": 68, "lattice": [[-2.195, 1.927, -1.920], [-3.208, -0.526, 3.138], [1.392, 3.603, 2.026]], "species": ["In", "Sc", "Tc", "Tc"], "fractional_positions": [[0.500, 0.000, 0.500], [0.000, 0.500, 0.500], [0.000, 0.000, 0.000], [0.500, 0.500, 0.000]]}



{"formula": "ScInTc2", "functional": "PBE", "state": "optimized geometry", "e_above_lowest_polymorph_ev_per_atom": 0.244, "dos_ef_per_ev_atom": 1.28, "delta_e_f_mev_per_atom": 73, "lattice": [[-1.100, -2.568, 3.445], [3.550, 1.459, 2.222], [-1.903, 2.602, 1.332]], "species": ["In", "Sc", "Tc", "Tc"], "fractional_positions": [[0.500, 0.000, 0.500], [0.000, 0.500, 0.500], [0.000, 0.000, 0.000], [0.500, 0.500, 0.000]]}